1.
Compound: LaAs2Ru
Source: Alexandria via LeMat-Bulk
Functional: PBE
Structure: relaxed

Cell and atoms, written as POSCAR:
```
LaAs2Ru
1.0
6.824 0.000 0.000
0.000 6.824 0.000
0.000 0.000 6.824
La As Ru
4 8 4
Direct
0.000 0.000 0.000
0.000 0.500 0.500
0.500 0.000 0.500
0.500 0.500 0.000
0.250 0.250 0.250
0.250 0.250 0.750
0.250 0.750 0.250
0.250 0.750 0.750
0.750 0.250 0.250
0.750 0.250 0.750
0.750 0.750 0.250
0.750 0.750 0.750
0.000 0.000 0.500
0.000 0.500 0.000
0.500 0.000 0.000
0.500 0.500 0.500
```

Computed properties:
The value obtained for the excess energy over the best structure of this formula in the dataset is 515.5 meV per atom. As for the raw total energy: -100.314 eV for the cell shown. The energy relative to the elements is -394.1 meV/atom. Its spin magnetization is 0.0 μB per formula unit.



2.
Compound: ReGeP3
Source: Alexandria via LeMat-Bulk
Functional: PBE
Structure: relaxed

Cell and atoms, written as POSCAR:
```
ReGeP3
1.0
4.546 0.000 0.000
0.000 4.546 0.000
0.000 0.000 4.546
Re Ge P
1 1 3
Direct
0.000 0.000 0.000
0.500 0.500 0.500
0.000 0.500 0.500
0.500 0.000 0.500
0.500 0.500 0.000
```

Computed properties:
The value obtained for the excess energy over the best structure of this formula in the dataset is 912.5 meV per atom. As for the raw total energy: -25.097 eV for the cell shown. The energy relative to the elements is 1639.6 meV/atom. Its spin magnetization is 2.4 μB per formula unit.



3.
Compound: PmSbPd6
Source: Alexandria via LeMat-Bulk
Functional: PBE
Structure: relaxed

Cell and atoms, written as POSCAR:
```
PmSbPd6
1.0
4.143 0.000 0.000
0.000 4.143 0.000
0.000 0.000 8.151
Pm Sb Pd
1 1 6
Direct
0.000 0.000 0.000
0.000 0.000 0.500
0.000 0.500 0.262
0.000 0.500 0.738
0.500 0.000 0.262
0.500 0.000 0.738
0.500 0.500 0.000
0.500 0.500 0.500
```

Computed properties:
The value obtained for the excess energy over the best structure of this formula in the dataset is 0.0 meV per atom. The formation energy without anion corrections is -579.9 meV per atom. As for the raw total energy: -44.669 eV for the cell shown. Its spin magnetization is 0.0 μB per formula unit.



4.
Compound: VFeReOs
Source: Alexandria via LeMat-Bulk
Functional: PBE
Structure: relaxed

Cell and atoms, written as POSCAR:
```
VFeReOs
1.0
6.016 0.000 0.000
0.000 6.016 0.000
0.000 0.000 6.016
V Fe Re Os
4 4 4 4
Direct
0.000 0.000 0.000
0.000 0.500 0.500
0.500 0.000 0.500
0.500 0.500 0.000
0.000 0.000 0.500
0.000 0.500 0.000
0.500 0.000 0.000
0.500 0.500 0.500
0.250 0.250 0.250
0.250 0.750 0.750
0.750 0.250 0.750
0.750 0.750 0.250
0.250 0.250 0.750
0.250 0.750 0.250
0.750 0.250 0.250
0.750 0.750 0.750
```

Computed properties:
As for the raw total energy: -165.712 eV for the cell shown. The energy relative to the elements is -42.2 meV/atom. Its spin magnetization is 3.3 μB per formula unit.